Density functional theory data (PBE-GGA) for a relaxed structure of ZrBePd2.

- electronic total energy (eV/atom) = -5.96
- M_tot (μB/atom) = 0.000
- calculated volume (Å³/cell) = 62

Unit cell a=4.4460 b=4.4460 c=4.4460 alpha=60.00 beta=60.00 gamma=60.00
Element x y z (fractional)
Zr: 0.0000 0.0000 0.0000
Be: 0.7500 0.7500 0.7500
Pd: 0.2500 0.2500 0.2500
Pd: 0.5000 0.5000 0.5000